(1)
CsBi2AsSe after structural relaxation, computed with GGA-PBEsol.

Space group = P4/mmm (123)
Energy = -3.2840 eV/atom
Mass density = 6.2 g/cm³
ΔE_f (raw) = 2.05 eV/f.u.

CIF file:
```
data_CsBi2AsSe
_chemical_formula_sum 'Cs1 Bi2 As1 Se1'
_cell_length_a 5.499
_cell_length_b 5.499
_cell_length_c 6.261
_cell_angle_alpha 90.00
_cell_angle_beta 90.00
_cell_angle_gamma 90.00
_symmetry_space_group_name_H-M 'P 1'
_symmetry_Int_Tables_number 1
loop_
_symmetry_equiv_pos_as_xyz
'x,y,z'
loop_
_atom_site_label
_atom_site_type_symbol
_atom_site_fract_x
_atom_site_fract_y
_atom_site_fract_z
_atom_site_occupancy
Cs1 Cs 0.000 0.000 0.000 1
Bi1 Bi 0.000 0.500 0.500 1
Bi2 Bi 0.500 0.000 0.500 1
As1 As 0.500 0.500 0.000 1
Se1 Se 0.000 0.000 0.500 1
```

---

(2)
Be2Cl after structural relaxation, computed with GGA-PBEsol.

Space group = C2/m (12)
Energy = -3.6160 eV/atom
Energy above the most stable polymorph in this dataset = 0 meV per atom
Mass density = 1.9 g/cm³
ΔE_f (raw) = -0.84 eV/f.u.

CIF file:
```
data_Be2Cl
_chemical_formula_sum 'Be4 Cl2'
_cell_length_a 3.628
_cell_length_b 3.628
_cell_length_c 8.117
_cell_angle_alpha 98.19
_cell_angle_beta 98.19
_cell_angle_gamma 61.94
_symmetry_space_group_name_H-M 'P 1'
_symmetry_Int_Tables_number 1
loop_
_symmetry_equiv_pos_as_xyz
'x,y,z'
loop_
_atom_site_label
_atom_site_type_symbol
_atom_site_fract_x
_atom_site_fract_y
_atom_site_fract_z
_atom_site_occupancy
Be1 Be 0.026 0.026 0.116 1
Be2 Be 0.337 0.337 0.035 1
Be3 Be 0.663 0.663 0.965 1
Be4 Be 0.974 0.974 0.884 1
Cl1 Cl 0.281 0.281 0.295 1
Cl2 Cl 0.719 0.719 0.705 1
```

---

(3)
LiAlFeO3 after structural relaxation, computed with GGA-PBEsol.

Space group = P-1 (2)
Energy = -7.1939 eV/atom
Mass density = 3.8 g/cm³
ΔE_f (raw) = -12.39 eV/f.u.

CIF file:
```
data_LiAlFeO3
_chemical_formula_sum 'Li2 Al2 Fe2 O6'
_cell_length_a 5.202
_cell_length_b 5.238
_cell_length_c 5.512
_cell_angle_alpha 65.72
_cell_angle_beta 65.19
_cell_angle_gamma 65.95
_symmetry_space_group_name_H-M 'P 1'
_symmetry_Int_Tables_number 1
loop_
_symmetry_equiv_pos_as_xyz
'x,y,z'
loop_
_atom_site_label
_atom_site_type_symbol
_atom_site_fract_x
_atom_site_fract_y
_atom_site_fract_z
_atom_site_occupancy
Li1 Li 0.074 0.437 0.247 1
Li2 Li 0.926 0.563 0.753 1
Al1 Al 0.412 0.744 0.587 1
Al2 Al 0.588 0.256 0.413 1
Fe1 Fe 0.276 0.934 0.066 1
Fe2 Fe 0.724 0.066 0.934 1
O1 O 0.103 0.754 0.895 1
O2 O 0.281 0.590 0.414 1
O3 O 0.407 0.084 0.299 1
O4 O 0.593 0.916 0.701 1
O5 O 0.719 0.410 0.586 1
O6 O 0.897 0.246 0.105 1
```

---

(4)
Li2AlIn after structural relaxation, computed with GGA-PBEsol.

Space group = Pmm2 (25)
Energy = -2.9683 eV/atom
ΔE_f = -0.216 eV per atom
Mass density = 3.7 g/cm³

CIF file:
```
data_Li2AlIn
_chemical_formula_sum 'Li2 Al1 In1'
_cell_length_a 2.954
_cell_length_b 4.611
_cell_length_c 5.121
_cell_angle_alpha 90.00
_cell_angle_beta 90.00
_cell_angle_gamma 90.00
_symmetry_space_group_name_H-M 'P 1'
_symmetry_Int_Tables_number 1
loop_
_symmetry_equiv_pos_as_xyz
'x,y,z'
loop_
_atom_site_label
_atom_site_type_symbol
_atom_site_fract_x
_atom_site_fract_y
_atom_site_fract_z
_atom_site_occupancy
Li1 Li 0.000 0.000 0.000 1
Li2 Li 0.000 0.500 0.326 1
Al1 Al 0.500 0.500 0.838 1
In1 In 0.500 0.000 0.499 1
```

---

(5)
H2IF after structural relaxation, computed with GGA-PBEsol.

Space group = Fm-3m (225)
Energy = -2.2010 eV/atom
Mass density = 6.2 g/cm³

CIF file:
```
data_H2IF
_chemical_formula_sum 'H2 I1 F1'
_cell_length_a 3.835
_cell_length_b 3.835
_cell_length_c 3.835
_cell_angle_alpha 60.00
_cell_angle_beta 60.00
_cell_angle_gamma 60.00
_symmetry_space_group_name_H-M 'P 1'
_symmetry_Int_Tables_number 1
loop_
_symmetry_equiv_pos_as_xyz
'x,y,z'
loop_
_atom_site_label
_atom_site_type_symbol
_atom_site_fract_x
_atom_site_fract_y
_atom_site_fract_z
_atom_site_occupancy
H1 H 0.250 0.250 0.250 1
H2 H 0.750 0.750 0.750 1
I1 I 0.000 0.000 0.000 1
F1 F 0.500 0.500 0.500 1
```

---

(6)
CsScNb2As after structural relaxation, computed with GGA-PBEsol.

Space group = P4/mmm (123)
Energy = -4.5178 eV/atom
ΔE_f = 2.342 eV per atom
Mass density = 5.4 g/cm³

CIF file:
```
data_CsScNb2As
_chemical_formula_sum 'Cs1 Sc1 Nb2 As1'
_cell_length_a 4.997
_cell_length_b 4.997
_cell_length_c 5.431
_cell_angle_alpha 90.00
_cell_angle_beta 90.00
_cell_angle_gamma 90.00
_symmetry_space_group_name_H-M 'P 1'
_symmetry_Int_Tables_number 1
loop_
_symmetry_equiv_pos_as_xyz
'x,y,z'
loop_
_atom_site_label
_atom_site_type_symbol
_atom_site_fract_x
_atom_site_fract_y
_atom_site_fract_z
_atom_site_occupancy
Cs1 Cs 0.000 0.000 0.000 1
Sc1 Sc 0.500 0.500 0.500 1
Nb1 Nb 0.000 0.500 0.000 1
Nb2 Nb 0.500 0.000 0.000 1
As1 As 0.000 0.000 0.500 1
```

---

(7)
CaScPb2 after structural relaxation, computed with GGA-PBEsol.

Space group = Pmmm (47)
Energy = -4.6513 eV/atom
ΔE_f = -0.467 eV per atom
Mass density = 8.0 g/cm³

CIF file:
```
data_CaScPb2
_chemical_formula_sum 'Ca1 Sc1 Pb2'
_cell_length_a 3.456
_cell_length_b 4.232
_cell_length_c 7.104
_cell_angle_alpha 90.00
_cell_angle_beta 90.00
_cell_angle_gamma 90.00
_symmetry_space_group_name_H-M 'P 1'
_symmetry_Int_Tables_number 1
loop_
_symmetry_equiv_pos_as_xyz
'x,y,z'
loop_
_atom_site_label
_atom_site_type_symbol
_atom_site_fract_x
_atom_site_fract_y
_atom_site_fract_z
_atom_site_occupancy
Ca1 Ca 0.000 0.000 0.000 1
Sc1 Sc 0.000 0.000 0.500 1
Pb1 Pb 0.500 0.500 0.271 1
Pb2 Pb 0.500 0.500 0.729 1
```

---

(8)
Tl2PW after structural relaxation, computed with GGA-PBEsol.

Space group = F-43m (216)
Energy = -5.0698 eV/atom
Energy above the most stable polymorph in this dataset = 955 meV per atom
ΔE_f = 1.145 eV per atom
Mass density = 13.2 g/cm³

CIF file:
```
data_Tl2PW
_chemical_formula_sum 'Tl2 P1 W1'
_cell_length_a 4.799
_cell_length_b 4.799
_cell_length_c 4.799
_cell_angle_alpha 60.00
_cell_angle_beta 60.00
_cell_angle_gamma 60.00
_symmetry_space_group_name_H-M 'P 1'
_symmetry_Int_Tables_number 1
loop_
_symmetry_equiv_pos_as_xyz
'x,y,z'
loop_
_atom_site_label
_atom_site_type_symbol
_atom_site_fract_x
_atom_site_fract_y
_atom_site_fract_z
_atom_site_occupancy
Tl1 Tl 0.000 0.000 0.000 1
Tl2 Tl 0.250 0.250 0.250 1
P1 P 0.500 0.500 0.500 1
W1 W 0.750 0.750 0.750 1
```

---

(9)
RbLi2I3O9 after structural relaxation, computed with GGA-PBEsol.

Space group = P2_1/c (14)
Energy = -4.8275 eV/atom
Mass density = 4.4 g/cm³
ΔE_f (raw) = -14.91 eV/f.u.

CIF file:
```
data_RbLi2I3O9
_chemical_formula_sum 'Rb4 Li8 I12 O36'
_cell_length_a 8.168
_cell_length_b 10.972
_cell_length_c 11.122
_cell_angle_alpha 90.00
_cell_angle_beta 110.21
_cell_angle_gamma 90.00
_symmetry_space_group_name_H-M 'P 1'
_symmetry_Int_Tables_number 1
loop_
_symmetry_equiv_pos_as_xyz
'x,y,z'
loop_
_atom_site_label
_atom_site_type_symbol
_atom_site_fract_x
_atom_site_fract_y
_atom_site_fract_z
_atom_site_occupancy
Rb1 Rb 0.213 0.044 0.161 1
Rb2 Rb 0.213 0.456 0.661 1
Rb3 Rb 0.787 0.544 0.339 1
Rb4 Rb 0.787 0.956 0.839 1
Li1 Li 0.127 0.216 0.862 1
Li2 Li 0.127 0.284 0.362 1
Li3 Li 0.482 0.709 0.653 1
Li4 Li 0.482 0.791 0.153 1
Li5 Li 0.518 0.209 0.847 1
Li6 Li 0.518 0.291 0.347 1
Li7 Li 0.873 0.716 0.638 1
Li8 Li 0.873 0.784 0.138 1
I1 I 0.090 0.678 0.950 1
I2 I 0.090 0.822 0.450 1
I3 I 0.268 0.562 0.313 1
I4 I 0.268 0.938 0.813 1
I5 I 0.413 0.128 0.562 1
I6 I 0.413 0.372 0.062 1
I7 I 0.587 0.628 0.938 1
I8 I 0.587 0.872 0.438 1
I9 I 0.732 0.062 0.187 1
I10 I 0.732 0.438 0.687 1
I11 I 0.910 0.178 0.550 1
I12 I 0.910 0.322 0.050 1
O1 O 0.040 0.734 0.299 1
O2 O 0.040 0.766 0.799 1
O3 O 0.108 0.225 0.521 1
O4 O 0.108 0.275 0.021 1
O5 O 0.139 0.546 0.142 1
O6 O 0.139 0.954 0.642 1
O7 O 0.144 0.041 0.877 1
O8 O 0.144 0.459 0.377 1
O9 O 0.239 0.710 0.551 1
O10 O 0.239 0.790 0.051 1
O11 O 0.359 0.204 0.407 1
O12 O 0.359 0.296 0.907 1
O13 O 0.364 0.576 0.920 1
O14 O 0.364 0.924 0.420 1
O15 O 0.446 0.040 0.812 1
O16 O 0.446 0.460 0.312 1
O17 O 0.480 0.240 0.169 1
O18 O 0.480 0.260 0.669 1
O19 O 0.520 0.740 0.331 1
O20 O 0.520 0.760 0.831 1
O21 O 0.554 0.540 0.688 1
O22 O 0.554 0.960 0.188 1
O23 O 0.636 0.076 0.580 1
O24 O 0.636 0.424 0.080 1
O25 O 0.641 0.704 0.093 1
O26 O 0.641 0.796 0.593 1
O27 O 0.761 0.210 0.949 1
O28 O 0.761 0.290 0.449 1
O29 O 0.856 0.541 0.623 1
O30 O 0.856 0.959 0.123 1
O31 O 0.861 0.046 0.358 1
O32 O 0.861 0.454 0.858 1
O33 O 0.892 0.725 0.979 1
O34 O 0.892 0.775 0.479 1
O35 O 0.960 0.234 0.201 1
O36 O 0.960 0.266 0.701 1
```

---

(10)
SiHg2Pb after structural relaxation, computed with GGA-PBEsol.

Space group = Cm (8)
Energy = -2.4916 eV/atom
Energy above the most stable polymorph in this dataset = 0 meV per atom
Mass density = 10.8 g/cm³
ΔE_f (raw) = 0.91 eV/f.u.

CIF file:
```
data_SiHg2Pb
_chemical_formula_sum 'Si1 Hg2 Pb1'
_cell_length_a 4.184
_cell_length_b 4.184
_cell_length_c 6.869
_cell_angle_alpha 108.38
_cell_angle_beta 108.38
_cell_angle_gamma 60.54
_symmetry_space_group_name_H-M 'P 1'
_symmetry_Int_Tables_number 1
loop_
_symmetry_equiv_pos_as_xyz
'x,y,z'
loop_
_atom_site_label
_atom_site_type_symbol
_atom_site_fract_x
_atom_site_fract_y
_atom_site_fract_z
_atom_site_occupancy
Si1 Si 0.000 0.000 0.000 1
Hg1 Hg 0.278 0.278 0.833 1
Hg2 Hg 0.522 0.522 0.564 1
Pb1 Pb 0.753 0.753 0.251 1
```

---

no.,density of states at the Fermi level (states/eV/cell)
1,3.501
2,0.056
3,0.345
4,0.768
5,1.292
6,7.806
7,2.641
8,4.059
9,0.000
10,1.546